First-principles (PBE) data for a relaxed structure of Gd2DyAs, as listed in Alexandria.

Values from the calculation:
As for the space group: R-3m, No. 166. The value obtained for the density of states at the Fermi level is 1.06 states/eV/atom. As for the crystal system: trigonal. The volume is 124.3 Å³/f.u. The value obtained for the formation enthalpy at 0 K is -589 meV/atom. The value obtained for the mass density is 7.37 Mg/m³. As for the electronic total energy: -39.8 eV for the cell shown.

a b c (Å): 9.7480 9.7480 9.7480
angles (deg): 23.02 23.02 23.02
Fractional coordinates of all 4 atoms:
Gd (0.2289, 0.2289, 0.2289)
Gd (0.7711, 0.7711, 0.7711)
Dy (0.0000, 0.0000, 0.0000)
As (0.5000, 0.5000, 0.5000)

***

First-principles (PBE) data for a relaxed structure of VSiAg3, as listed in Alexandria.

Values from the calculation:
As for the space group: Pm-3m, No. 221. The value obtained for the density of states at the Fermi level is 1.00 states/eV/atom. As for the crystal system: cubic. The energy relative to the lowest polymorph listed for this composition is 692.0 meV/atom. The volume is 121.6 Å³/f.u. The value obtained for the mass density is 5.50 Mg/m³. As for the electronic total energy: -16.0 eV for the cell shown.

a b c (Å): 4.9543 4.9543 4.9543
angles (deg): 90.00 90.00 90.00
Fractional coordinates of all 5 atoms:
V (0.0000, 0.0000, 0.0000)
Si (0.5000, 0.5000, 0.5000)
Ag (0.0000, 0.0000, 0.5000)
Ag (0.0000, 0.5000, 0.0000)
Ag (0.5000, 0.0000, 0.0000)

***

First-principles (PBE) data for a relaxed structure of CuNi2Rh3, as listed in Alexandria.

Values from the calculation:
As for the space group: C2/c, No. 15. The value obtained for the density of states at the Fermi level is 1.75 states/eV/atom. As for the crystal system: monoclinic. The volume is 77.2 Å³/f.u. The value obtained for the formation enthalpy at 0 K is 58 meV/atom. The value obtained for the mass density is 10.53 Mg/m³. As for the electronic total energy: -74.7 eV for the cell shown.

a b c (Å): 6.9955 6.9955 4.5686
angles (deg): 90.36 90.36 43.70
Fractional coordinates of all 12 atoms:
Cu (0.1149, 0.8851, 0.7500)
Cu (0.8851, 0.1149, 0.2500)
Ni (0.0429, 0.2902, 0.5806)
Ni (0.2902, 0.0429, 0.0806)
Ni (0.7098, 0.9571, 0.9194)
Ni (0.9571, 0.7098, 0.4194)
Rh (0.2058, 0.4570, 0.9129)
Rh (0.3761, 0.6239, 0.2500)
Rh (0.4570, 0.2058, 0.4129)
Rh (0.5430, 0.7942, 0.5871)
Rh (0.6239, 0.3761, 0.7500)
Rh (0.7942, 0.5430, 0.0871)